# 1
Below is crystalline HoCdSi2Pt5 at its relaxed geometry, with properties calculated at the PBE level.

Structure (POSCAR):
```
HoCdSi2Pt5
1.0
4.160 0.000 0.000
0.000 4.160 0.000
0.000 0.000 8.908
Ho Cd Si Pt
1 1 2 5
direct
0.000 0.000 0.000
0.000 0.000 0.500
0.500 0.500 0.371
0.500 0.500 0.629
0.000 0.500 0.237
0.000 0.500 0.763
0.500 0.000 0.237
0.500 0.000 0.763
0.500 0.500 0.000
```

Results
formation energy from raw total energies = -0.79 eV per atom

# 2
Below is crystalline K3SiTe3 at its relaxed geometry, with properties calculated at the PBE level.

Structure (POSCAR):
```
K3SiTe3
1.0
13.854 0.000 0.000
0.000 5.085 0.000
0.000 0.000 15.229
K Si Te
12 4 12
direct
0.072 0.250 0.102
0.137 0.750 0.477
0.236 0.750 0.780
0.264 0.250 0.280
0.363 0.250 0.977
0.428 0.750 0.602
0.572 0.250 0.398
0.637 0.750 0.023
0.736 0.750 0.720
0.764 0.250 0.220
0.863 0.250 0.523
0.928 0.750 0.898
0.065 0.250 0.701
0.435 0.750 0.201
0.565 0.250 0.799
0.935 0.750 0.299
0.011 0.250 0.331
0.103 0.250 0.868
0.227 0.250 0.617
0.273 0.750 0.117
0.397 0.750 0.368
0.489 0.750 0.831
0.511 0.250 0.169
0.603 0.250 0.632
0.727 0.250 0.883
0.773 0.750 0.383
0.897 0.750 0.132
0.989 0.750 0.669
```

Results
formation energy from raw total energies = -0.73 eV per atom

# 3
Below is crystalline Ca2AlZn3Ga4 at its relaxed geometry, with properties calculated at the PBE level.

Structure (POSCAR):
```
Ca2AlZn3Ga4
1.0
4.119 0.000 0.000
0.000 4.119 0.000
0.000 0.000 11.447
Ca Al Zn Ga
2 1 3 4
direct
0.000 0.500 0.248
0.500 0.000 0.752
0.000 0.000 0.500
0.000 0.500 0.859
0.500 0.000 0.141
0.500 0.500 0.500
0.000 0.000 0.000
0.000 0.500 0.641
0.500 0.000 0.359
0.500 0.500 0.000
```

Results
DFT formation energy = -0.345 eV per atom

# 4
Below is crystalline ScIr2Au at its relaxed geometry, with properties calculated at the PBE level.

Structure (POSCAR):
```
ScIr2Au
1.0
2.882 0.000 0.000
0.000 2.882 0.000
0.000 0.000 7.993
Sc Ir Au
1 2 1
direct
0.000 0.000 0.000
0.500 0.500 0.242
0.500 0.500 0.758
0.000 0.000 0.500
```

Results
DFT formation energy = -0.171 eV per atom
relative energy among the computed polymorphs = 0.329 eV per atom

# 5
Below is crystalline Ti3TcAs at its relaxed geometry, with properties calculated at the PBE level.

Structure (POSCAR):
```
Ti3TcAs
1.0
4.605 0.000 0.000
0.000 4.605 0.000
0.000 0.000 4.605
Ti Tc As
3 1 1
direct
0.000 0.000 0.500
0.000 0.500 0.000
0.500 0.000 0.000
0.500 0.500 0.500
0.000 0.000 0.000
```

Results
DFT formation energy = 0.487 eV per atom
relative energy among the computed polymorphs = 0.049 eV per atom

no.,uncorrected energy (eV per atom)
1,-5.96
2,-3.32
3,-2.71
4,-7.00
5,-7.25